No. 1
NaPmSi after structural relaxation, computed with PBE-GGA.

Geometry as CIF:
```
data_NaPmSi
_space_group_name_H-M_alt 'P 1'
_space_group_IT_number 1
_cell_length_a 4.9171
_cell_length_b 4.9171
_cell_length_c 4.9171
_cell_angle_alpha 60.00
_cell_angle_beta 60.00
_cell_angle_gamma 60.00
loop_
_space_group_symop_operation_xyz
'x,y,z'
loop_
_atom_site_label
_atom_site_type_symbol
_atom_site_fract_x
_atom_site_fract_y
_atom_site_fract_z
Pm1 Pm 0.0000 0.0000 0.0000
Na1 Na 0.2500 0.2500 0.2500
Si1 Si 0.7500 0.7500 0.7500
```

=====

No. 2
NdGdH2Br4 after structural relaxation, computed with PBE-GGA.

Geometry as CIF:
```
data_NdGdH2Br4
_space_group_name_H-M_alt 'P 1'
_space_group_IT_number 1
_cell_length_a 3.9361
_cell_length_b 3.9361
_cell_length_c 14.8745
_cell_angle_alpha 90.00
_cell_angle_beta 90.00
_cell_angle_gamma 120.00
loop_
_space_group_symop_operation_xyz
'x,y,z'
loop_
_atom_site_label
_atom_site_type_symbol
_atom_site_fract_x
_atom_site_fract_y
_atom_site_fract_z
Br1 Br 0.6667 0.3333 0.6277
Br2 Br 0.3333 0.6667 0.8675
Br3 Br 0.3333 0.6667 0.1325
H1 H 0.6667 0.3333 0.0000
Br4 Br 0.6667 0.3333 0.3723
H2 H 0.3333 0.6667 0.5000
Nd1 Nd 0.0000 0.0000 0.0000
Gd1 Gd 0.0000 0.0000 0.5000
```

=====

No. 3
Sm3Pb7 after structural relaxation, computed with PBE-GGA.

Geometry as CIF:
```
data_Sm3Pb7
_space_group_name_H-M_alt 'P 1'
_space_group_IT_number 1
_cell_length_a 13.2318
_cell_length_b 13.2318
_cell_length_c 4.7437
_cell_angle_alpha 90.00
_cell_angle_beta 90.00
_cell_angle_gamma 159.42
loop_
_space_group_symop_operation_xyz
'x,y,z'
loop_
_atom_site_label
_atom_site_type_symbol
_atom_site_fract_x
_atom_site_fract_y
_atom_site_fract_z
Sm1 Sm 0.0000 0.0000 0.0000
Pb1 Pb 0.4034 0.5966 0.0000
Sm2 Sm 0.8116 0.1884 0.0000
Pb2 Pb 0.2933 0.7067 0.5000
Pb3 Pb 0.0974 0.9026 0.5000
Pb4 Pb 0.9026 0.0974 0.5000
Sm3 Sm 0.1884 0.8116 0.0000
Pb5 Pb 0.5000 0.5000 0.5000
Pb6 Pb 0.5966 0.4034 0.0000
Pb7 Pb 0.7067 0.2933 0.5000
```

=====

No. 4
NbCoSiTc after structural relaxation, computed with PBE-GGA.

Geometry as CIF:
```
data_NbCoSiTc
_space_group_name_H-M_alt 'P 1'
_space_group_IT_number 1
_cell_length_a 4.2745
_cell_length_b 4.2745
_cell_length_c 4.2745
_cell_angle_alpha 60.00
_cell_angle_beta 60.00
_cell_angle_gamma 60.00
loop_
_space_group_symop_operation_xyz
'x,y,z'
loop_
_atom_site_label
_atom_site_type_symbol
_atom_site_fract_x
_atom_site_fract_y
_atom_site_fract_z
Co1 Co 0.7500 0.7500 0.7500
Nb1 Nb 0.5000 0.5000 0.5000
Tc1 Tc 0.2500 0.2500 0.2500
Si1 Si 0.0000 0.0000 0.0000
```

=====

No. 5
Cu2SnB after structural relaxation, computed with PBE-GGA.

Geometry as CIF:
```
data_Cu2SnB
_space_group_name_H-M_alt 'P 1'
_space_group_IT_number 1
_cell_length_a 6.1092
_cell_length_b 6.1092
_cell_length_c 6.1092
_cell_angle_alpha 90.00
_cell_angle_beta 90.00
_cell_angle_gamma 90.00
loop_
_space_group_symop_operation_xyz
'x,y,z'
loop_
_atom_site_label
_atom_site_type_symbol
_atom_site_fract_x
_atom_site_fract_y
_atom_site_fract_z
Sn1 Sn 0.0000 0.5000 0.0000
Cu1 Cu 0.7029 0.2971 0.7029
Cu2 Cu 0.2971 0.7029 0.7029
Cu3 Cu 0.2971 0.7029 0.2971
Cu4 Cu 0.7029 0.7029 0.7029
Sn2 Sn 0.5000 0.0000 0.0000
Cu5 Cu 0.2971 0.2971 0.7029
Cu6 Cu 0.2971 0.2971 0.2971
B1 B 0.5000 0.5000 0.5000
Cu7 Cu 0.7029 0.7029 0.2971
B2 B 0.5000 0.5000 0.0000
B3 B 0.0000 0.5000 0.5000
Sn3 Sn 0.0000 0.0000 0.5000
B4 B 0.5000 0.0000 0.5000
Cu8 Cu 0.7029 0.2971 0.2971
Sn4 Sn 0.0000 0.0000 0.0000
```

=====

No. 6
La4NiI5 after structural relaxation, computed with PBE-GGA.

Geometry as CIF:
```
data_La4NiI5
_space_group_name_H-M_alt 'P 1'
_space_group_IT_number 1
_cell_length_a 10.2196
_cell_length_b 10.2196
_cell_length_c 9.2855
_cell_angle_alpha 102.74
_cell_angle_beta 102.74
_cell_angle_gamma 23.91
loop_
_space_group_symop_operation_xyz
'x,y,z'
loop_
_atom_site_label
_atom_site_type_symbol
_atom_site_fract_x
_atom_site_fract_y
_atom_site_fract_z
Ni1 Ni 0.5000 0.5000 0.0000
I1 I 0.5000 0.5000 0.5000
La1 La 0.0010 0.0010 0.7942
La2 La 0.3511 0.3511 0.9207
I2 I 0.8334 0.8334 0.6479
La3 La 0.9990 0.9990 0.2058
I3 I 0.1666 0.1666 0.3521
La4 La 0.6489 0.6489 0.0793
I4 I 0.1745 0.1745 0.8219
I5 I 0.8255 0.8255 0.1781
```

=====

In order of appearance, uncorrected energy = -3.639; -4.385; -4.416; -8.582; -3.876; -4.457 eV per atom.